VASP calculation (PBE+U) on crystalline NaNpFeO4 at its relaxed geometry.

Lattice parameters (Å, degrees): 4.8763 4.8763 7.9483 90.00 90.00 102.40
Last column: nearest neighbours and their distance in Å.
Atoms (fractional coordinates):
O 0.2107 0.7893 0.9967  1 Np 1.96, 1 Fe 2.02, 1 Na 2.20
Np 0.1960 0.8040 0.7500  4 O 1.96-2.19
Na 0.5000 0.5000 0.5000  2 O 2.20
O 0.2613 0.2520 0.2500  1 Fe 2.11, 1 Np 2.19
O 0.2520 0.2613 0.7500  1 Fe 2.11, 1 Np 2.19
O 0.7387 0.7480 0.7500  1 Fe 2.11, 1 Np 2.19
Fe 0.8105 0.1895 0.7500  4 O 2.02-2.11
Np 0.8040 0.1960 0.2500  4 O 1.96-2.19
O 0.7893 0.2107 0.4967  1 Np 1.96, 1 Fe 2.02, 1 Na 2.20
Fe 0.1895 0.8105 0.2500  4 O 2.02-2.11
Na 0.5000 0.5000 0.0000  2 O 2.20
O 0.2107 0.7893 0.5033  1 Np 1.96, 1 Fe 2.02, 1 Na 2.20
O 0.7893 0.2107 0.0033  1 Np 1.96, 1 Fe 2.02, 1 Na 2.20
O 0.7480 0.7387 0.2500  1 Fe 2.11, 1 Np 2.19

Values from the calculation:
D(E_F) ... 0.70 states/eV per atom
DFT total energy ... -7.66 eV/atom
Symmetry ... No. 63

VASP calculation (PBE+U) on crystalline Na2NpFeO4 at its relaxed geometry.

Lattice parameters (Å, degrees): 3.3605 5.6125 5.8932 108.32 90.00 90.00
Last column: nearest neighbours and their distance in Å.
Atoms (fractional coordinates):
Np 0.5000 0.5000 0.0000  6 O 2.19-2.27
Na 0.0000 0.5000 0.5000  6 O 2.42-2.52
Na 0.5000 0.0000 0.5000  6 O 2.48-2.49
Fe 0.0000 0.0000 0.0000  6 O 2.26
O 0.0000 0.2649 0.7804  1 Fe 2.26, 2 Np 2.27, 3 Na 2.42-2.49
O 0.5000 0.2385 0.2092  1 Np 2.19, 2 Fe 2.26
O 0.0000 0.7351 0.2196  1 Fe 2.26, 2 Np 2.27, 3 Na 2.42-2.49
O 0.5000 0.7615 0.7908  1 Np 2.19, 2 Fe 2.26

Values from the calculation:
D(E_F) ... 0.80 states/eV per atom
DFT total energy ... -7.17 eV/atom
Symmetry ... No. 10

VASP calculation (PBE+U) on crystalline Na2NpFe2O6 at its relaxed geometry.

Lattice parameters (Å, degrees): 5.4537 5.4537 5.9806 100.12 100.12 118.15
Last column: nearest neighbours and their distance in Å.
Atoms (fractional coordinates):
Np 0.0000 0.0000 0.5000  6 O 2.09-2.10
Fe 0.6601 0.3399 0.5000  6 O 2.15-2.27
O 0.2415 0.2415 0.2973  1 Np 2.10, 2 Fe 2.15
Na 0.1793 0.8207 0.0000  6 O 2.42-2.51
O 0.3872 0.0567 0.7012  1 Np 2.09, 2 Fe 2.15-2.27
Fe 0.3399 0.6601 0.5000  6 O 2.15-2.27
O 0.6128 0.9433 0.2988  1 Np 2.09, 2 Fe 2.15-2.27
O 0.7585 0.7585 0.7027  1 Np 2.10, 2 Fe 2.15
O 0.0567 0.3872 0.7012  1 Np 2.09, 2 Fe 2.15-2.27
Na 0.8207 0.1793 0.0000  6 O 2.42-2.51
O 0.9433 0.6128 0.2988  1 Np 2.09, 2 Fe 2.15-2.27

Values from the calculation:
DFT total energy ... -7.16 eV/atom
Symmetry ... No. 12

VASP calculation (PBE+U) on crystalline Na2NpFeO6 at its relaxed geometry.

Lattice parameters (Å, degrees): 5.5420 5.5957 5.5495 120.28 120.15 90.00
Last column: nearest neighbours and their distance in Å.
Atoms (fractional coordinates):
O 0.6685 0.2466 0.4932  1 Fe 1.97, 1 Np 2.02
O 0.2121 0.2052 0.9167  1 Fe 1.97, 1 Np 2.02
O 0.2121 0.7115 0.9167  1 Fe 1.97, 1 Np 2.02
O 0.3315 0.7534 0.5068  1 Fe 1.97, 1 Np 2.02
Fe 0.5000 0.0000 0.0000  6 O 1.97
O 0.7879 0.2885 0.0833  1 Fe 1.97, 1 Np 2.02
O 0.7879 0.7948 0.0833  1 Fe 1.97, 1 Np 2.02
Np 0.0000 0.5000 0.0000  6 O 2.02
Na 0.7624 0.7500 0.5000  5 O 2.41-2.52
Na 0.2376 0.2500 0.5000  5 O 2.41-2.52

Values from the calculation:
DFT total energy ... -6.99 eV/atom
Symmetry ... No. 12

VASP calculation (PBE+U) on crystalline NaNpFeO6 at its relaxed geometry.

Lattice parameters (Å, degrees): 4.9495 4.9495 9.4948 90.00 90.00 90.00
Last column: nearest neighbours and their distance in Å.
Atoms (fractional coordinates):
Fe 0.0000 0.0000 0.3300  6 O 1.96-2.07
Fe 0.5000 0.5000 0.8300  6 O 1.96-2.07
O 0.7058 0.7058 0.6908  1 Fe 1.96, 1 Np 2.07
O 0.2048 0.7952 0.8100  1 Np 1.97, 1 Fe 2.07
O 0.6733 0.6733 0.9983  1 Fe 2.01, 1 Np 2.01
O 0.1733 0.8267 0.4983  1 Fe 2.01, 1 Np 2.01
O 0.7048 0.7048 0.3100  1 Np 1.97, 1 Fe 2.07
Na 0.0000 0.0000 0.0043  6 O 2.28-2.34
O 0.2058 0.7942 0.1908  1 Fe 1.96, 1 Np 2.07
Np 0.5000 0.5000 0.1675  6 O 1.97-2.07
O 0.2952 0.2952 0.3100  1 Np 1.97, 1 Fe 2.07
O 0.2942 0.2942 0.6908  1 Fe 1.96, 1 Np 2.07
O 0.7942 0.2058 0.1908  1 Fe 1.96, 1 Np 2.07
O 0.3267 0.3267 0.9983  1 Fe 2.01, 1 Np 2.01
Na 0.5000 0.5000 0.5043  6 O 2.28-2.34
Np 0.0000 0.0000 0.6675  6 O 1.97-2.07
O 0.7952 0.2048 0.8100  1 Np 1.97, 1 Fe 2.07
O 0.8267 0.1733 0.4983  1 Fe 2.01, 1 Np 2.01

Values from the calculation:
D(E_F) ... 0.40 states/eV per atom
DFT total energy ... -7.36 eV/atom
Symmetry ... No. 102